Material: TlZn2Ni
Method: DFT, PBE-GGA
State: relaxed

Unit cell a=3.1600 b=4.0721 c=5.3187 alpha=90.00 beta=90.00 gamma=90.00
Closest atoms and distances in Å follow each position.
Space group Pmm2 (No. 25)
Symmetry-distinct sites (fractional):
Tl: 0.0000 0.0000 0.0000 (multiplicity 1)  4 Ni 2.83, 6 Zn 2.99-3.12, 2 Tl 3.16
Zn: 0.0000 0.5000 0.5890 (multiplicity 1)  2 Ni 2.52, 4 Zn 2.63
Zn: 0.5000 0.0000 0.4934 (multiplicity 1)  2 Ni 2.50, 4 Zn 2.63
Ni: 0.5000 0.5000 0.2192 (multiplicity 1)  4 Zn 2.50-2.52

Values from the calculation:
V = 68 Å³/f.u.
ΔE to the lowest computed polymorph = 0.077 eV per atom
DOS at the Fermi energy = 1.1 states/eV/f.u.


Material: TlZn2Ni
Method: DFT, PBE-GGA
State: relaxed

Unit cell a=3.2343 b=3.2343 c=6.4852 alpha=90.00 beta=90.00 gamma=90.00
Closest atoms and distances in Å follow each position.
Space group P4mm (No. 99)
Symmetry-distinct sites (fractional):
Tl: 0.0000 0.0000 0.0000 (multiplicity 1)  5 Zn 2.90-3.10, 4 Ni 2.96, 4 Tl 3.23
Zn: 0.0000 0.0000 0.5525 (multiplicity 1)  4 Ni 2.50, 4 Zn 2.73
Zn: 0.5000 0.5000 0.3226 (multiplicity 1)  1 Ni 2.51, 4 Zn 2.73
Ni: 0.5000 0.5000 0.7092 (multiplicity 1)  5 Zn 2.50-2.51

Values from the calculation:
V = 68 Å³/f.u.
ΔE to the lowest computed polymorph = 0.061 eV per atom
DOS at the Fermi energy = 1.4 states/eV/f.u.


Material: TlZn2Ni
Method: DFT, PBE-GGA
State: relaxed

Unit cell a=8.9864 b=3.3845 c=4.6241 alpha=90.00 beta=105.55 gamma=90.00
Closest atoms and distances in Å follow each position.
Space group C2/m (No. 12)
Symmetry-distinct sites (fractional):
Tl: 0.0000 0.0000 0.0000 (multiplicity 2)  6 Zn 2.78-3.05, 4 Ni 2.87
Zn: 0.2223 0.0000 0.6829 (multiplicity 4)  2 Zn 2.53, 2 Ni 2.58, 1 Tl 2.78
Ni: 0.0000 0.5000 0.5000 (multiplicity 2)  6 Zn 2.58-2.84, 4 Tl 2.87

Values from the calculation:
V = 68 Å³/f.u.
ΔE to the lowest computed polymorph = 0.094 eV per atom
DOS at the Fermi energy = 1.5 states/eV/f.u.


Material: TlZnNi4
Method: DFT, PBE-GGA
State: relaxed

Unit cell a=6.8796 b=6.8796 c=6.8796 alpha=90.00 beta=90.00 gamma=90.00
Closest atoms and distances in Å follow each position.
Space group F-43m (No. 216)
Symmetry-distinct sites (fractional):
Tl: 0.0000 0.0000 0.0000 (multiplicity 4)  12 Ni 2.85, 4 Zn 2.98
Zn: 0.2500 0.2500 0.7500 (multiplicity 4)  12 Ni 2.85, 4 Tl 2.98
Ni: 0.1244 0.1244 0.3756 (multiplicity 16)  6 Ni 2.42-2.44

Values from the calculation:
V = 81 Å³/f.u.
energy = -4.320 eV per atom
DOS at the Fermi energy = 7.6 states/eV/f.u.


Material: TlZnNi2
Method: DFT, PBE-GGA
State: relaxed

Unit cell a=3.0402 b=3.0402 c=23.2477 alpha=90.00 beta=90.00 gamma=120.00
Closest atoms and distances in Å follow each position.
Space group R-3m (No. 166, hexagonal axes)
Symmetry-distinct sites (fractional):
Tl: 0.0000 0.0000 0.0000 (multiplicity 3)  6 Ni 2.74, 6 Tl 3.04
Zn: 0.0000 0.0000 0.5000 (multiplicity 3)  6 Ni 2.49
Ni: 0.0000 0.0000 0.2429 (multiplicity 6)  3 Zn 2.49, 3 Tl 2.74

Values from the calculation:
V = 62 Å³/f.u.
ΔE to the lowest computed polymorph = 0.161 eV per atom
DOS at the Fermi energy = 1.8 states/eV/f.u.


Material: TlZnNi
Method: DFT, PBE-GGA
State: relaxed

Unit cell a=4.2477 b=4.2477 c=3.3903 alpha=90.00 beta=90.00 gamma=120.00
Closest atoms and distances in Å follow each position.
Space group P3m1 (No. 156)
Symmetry-distinct sites (fractional):
Tl: 0.0000 0.0000 0.0000 (multiplicity 1)  6 Ni 2.98-2.99, 6 Zn 2.98
Zn: 0.6667 0.3333 0.5010 (multiplicity 1)  3 Ni 2.45
Ni: 0.3333 0.6667 0.4974 (multiplicity 1)  3 Zn 2.45

Values from the calculation:
V = 53 Å³/f.u.
ΔE to the lowest computed polymorph = 0.089 eV per atom
DOS at the Fermi energy = 2.4 states/eV/f.u.